Record 1
{"formula": "Na4Sr6Ir", "functional": "GGA-PBE", "state": "relaxed", "final_energy_ev_per_atom": -2.258, "formation_enthalpy_0k_ev_per_atom": -0.055, "lattice_angstrom": [[-1.886, -8.244, 4.419], [7.626, -3.965, -4.142], [5.916, 2.965, 8.056]], "species": ["Sr", "Sr", "Sr", "Sr", "Sr", "Sr", "Sr", "Sr", "Sr", "Sr", "Sr", "Sr", "Na", "Na", "Na", "Na", "Na", "Na", "Na", "Na", "Ir", "Ir"], "fractional_positions": [[0.780, 0.643, 0.000], [0.000, 0.000, 0.783], [0.857, 0.720, 0.500], [0.720, 0.143, 0.500], [0.280, 0.857, 0.500], [0.143, 0.280, 0.500], [0.220, 0.357, 0.000], [0.357, 0.780, 0.000], [0.500, 0.500, 0.283], [0.500, 0.500, 0.717], [0.000, 0.000, 0.217], [0.643, 0.220, 0.000], [0.121, 0.621, 0.750], [0.379, 0.121, 0.750], [0.121, 0.621, 0.250], [0.621, 0.879, 0.250], [0.879, 0.379, 0.250], [0.621, 0.879, 0.750], [0.379, 0.121, 0.250], [0.879, 0.379, 0.750], [0.500, 0.500, 0.000], [0.000, 0.000, 0.500]]}

***

Record 2
{"formula": "CaNd5Rh6", "functional": "GGA-PBE", "state": "relaxed", "final_energy_ev_per_atom": -6.438, "formation_enthalpy_0k_ev_per_atom": -0.609, "lattice_angstrom": [[4.808, -0.003, -1.347], [-3.592, 6.967, -3.591], [-0.192, -0.993, 8.563]], "species": ["Rh", "Rh", "Rh", "Rh", "Rh", "Rh", "Nd", "Nd", "Nd", "Nd", "Nd", "Ca"], "fractional_positions": [[0.763, 0.262, 0.262], [0.256, 0.086, 0.426], [0.744, 0.574, 0.914], [0.237, 0.738, 0.738], [0.256, 0.426, 0.086], [0.744, 0.914, 0.574], [0.500, 0.500, 0.500], [0.000, 0.669, 0.331], [0.000, 0.331, 0.669], [0.500, 0.159, 0.841], [0.500, 0.841, 0.159], [0.000, 0.000, 0.000]]}

***

Record 3
{"formula": "La2PaRh3O12", "functional": "GGA-PBE", "state": "relaxed", "raw_formation_energy_ev_per_atom": -1.881, "final_energy_ev_per_atom": -7.487, "lattice_angstrom": [[-1.418, -0.359, 6.557], [-3.293, -5.470, 2.090], [3.505, -4.446, 3.617]], "species": ["O", "O", "O", "O", "O", "O", "O", "O", "O", "O", "O", "O", "Rh", "Rh", "Rh", "Pa", "La", "La"], "fractional_positions": [[0.259, 0.859, 0.259], [0.428, 0.852, 0.852], [0.259, 0.259, 0.859], [0.741, 0.141, 0.741], [0.148, 0.572, 0.148], [0.852, 0.852, 0.428], [0.741, 0.741, 0.141], [0.141, 0.741, 0.741], [0.572, 0.148, 0.148], [0.852, 0.428, 0.852], [0.148, 0.148, 0.572], [0.859, 0.259, 0.259], [0.000, 0.500, 0.000], [0.000, 0.000, 0.500], [0.500, 0.000, 0.000], [0.000, 0.000, 0.000], [0.619, 0.619, 0.619], [0.381, 0.381, 0.381]]}

***

Record 4
{"formula": "BaTeH", "functional": "GGA-PBE", "state": "relaxed", "final_energy_ev_per_atom": -3.389, "lattice_angstrom": [[4.915, 0.000, 0.000], [0.000, 4.915, 0.000], [-2.458, -2.458, 4.111]], "species": ["Te", "H", "Ba"], "fractional_positions": [[0.894, 0.894, 0.788], [0.634, 0.634, 0.269], [0.321, 0.321, 0.643]]}

***

Record 5
{"formula": "Ac6GeRu2", "functional": "GGA-PBE", "state": "relaxed", "final_energy_ev_per_atom": -5.516, "polymorph_energy_mev_per_atom": 0.0, "formation_enthalpy_0k_ev_per_atom": -0.203, "lattice_angstrom": [[-6.298, -1.443, -3.342], [-8.810, -6.314, 4.888], [-9.925, 6.369, 1.514]], "species": ["Ac", "Ac", "Ac", "Ac", "Ac", "Ac", "Ac", "Ac", "Ac", "Ac", "Ac", "Ac", "Ru", "Ru", "Ru", "Ru", "Ge", "Ge"], "fractional_positions": [[0.362, 0.382, 0.881], [0.377, 0.714, 0.562], [0.862, 0.881, 0.382], [0.123, 0.438, 0.286], [0.379, 0.062, 0.214], [0.879, 0.214, 0.062], [0.877, 0.562, 0.714], [0.138, 0.119, 0.618], [0.638, 0.618, 0.119], [0.121, 0.786, 0.938], [0.621, 0.938, 0.786], [0.623, 0.286, 0.438], [0.001, 0.339, 0.161], [0.501, 0.161, 0.339], [0.999, 0.661, 0.839], [0.499, 0.839, 0.661], [0.750, 0.750, 0.250], [0.250, 0.250, 0.750]]}

***

Record 6
{"formula": "Tm2Al2SiRu5", "functional": "GGA-PBE", "state": "relaxed", "raw_formation_energy_ev_per_atom": -0.493, "final_energy_ev_per_atom": -7.317, "lattice_angstrom": [[-1.457, 0.078, 2.885], [5.563, -7.682, 3.016], [6.928, 6.323, 3.329]], "species": ["Al", "Al", "Al", "Al", "Ru", "Ru", "Ru", "Ru", "Ru", "Ru", "Ru", "Ru", "Ru", "Ru", "Tm", "Tm", "Tm", "Tm", "Si", "Si"], "fractional_positions": [[0.000, 0.631, 0.869], [0.000, 0.369, 0.131], [0.000, 0.869, 0.369], [0.000, 0.131, 0.631], [0.500, 0.310, 0.561], [0.500, 0.939, 0.190], [0.500, 0.500, 0.000], [0.500, 0.561, 0.690], [0.500, 0.810, 0.939], [0.500, 0.190, 0.061], [0.500, 0.439, 0.310], [0.500, 0.000, 0.500], [0.500, 0.690, 0.439], [0.500, 0.061, 0.810], [0.000, 0.831, 0.669], [0.000, 0.331, 0.831], [0.000, 0.169, 0.331], [0.000, 0.669, 0.169], [0.000, 0.000, 0.000], [0.000, 0.500, 0.500]]}